Entry 1:
{"formula": "InRu4Pb", "functional": "PBE-GGA", "state": "optimized geometry", "lattice_angstrom": [[4.475, -2.806, -0.510], [-0.218, -5.282, -0.454], [1.167, -2.315, -4.630]], "species": ["Ru", "Ru", "Ru", "Ru", "Pb", "In"], "frac_coords": [[0.375, 0.375, 0.375], [0.375, 0.375, 0.875], [0.375, 0.875, 0.375], [0.875, 0.375, 0.375], [0.000, 0.000, 0.000], [0.750, 0.750, 0.750]], "dft_energy_ev_per_atom": -6.721, "delta_e_f_ev_per_atom": 0.537, "space_group": "F-43m, No. 216"}


Entry 2:
{"formula": "In2RuPb", "functional": "PBE-GGA", "state": "optimized geometry", "lattice_angstrom": [[-1.139, -3.703, 1.608], [2.868, 0.434, 3.030], [-6.248, 3.177, 8.361]], "species": ["Pb", "Pb", "In", "In", "In", "In", "Ru", "Ru"], "frac_coords": [[0.750, 0.250, 0.500], [0.000, 0.000, 0.000], [0.608, 0.125, 0.250], [0.875, 0.858, 0.750], [0.142, 0.625, 0.250], [0.375, 0.392, 0.750], [0.250, 0.750, 0.500], [0.500, 0.500, 0.000]], "dft_energy_ev_per_atom": -4.120, "delta_e_f_ev_per_atom": 0.495, "space_group": "I-42d, No. 122"}